# YTiMn2O PBE with a Hubbard U optimized geometry
# VASP energy in eV/atom: -6.969
data_YTiMn2O
_chemical_formula_sum 'Y1 Ti1 Mn2 O1'
_symmetry_space_group_name_H-M 'P 4/m m m'
_symmetry_Int_Tables_number 123
_symmetry_space_group_name_Hall '-P 4 2'
_cell_length_a 5.501
_cell_length_b 5.501
_cell_length_c 3.718
_cell_angle_alpha 90.00
_cell_angle_beta 90.00
_cell_angle_gamma 90.00
loop_
_atom_site_label
_atom_site_type_symbol
_atom_site_fract_x
_atom_site_fract_y
_atom_site_fract_z
Y1 Y 0.000 0.000 0.000
Ti1 Ti 0.500 0.500 0.500
Mn1 Mn 0.000 0.500 0.500
O1 O 0.500 0.500 0.000